# 1
DFT (PBE) results for a geometry-optimized Ac5HoTl8 structure.

a = 8.5756 Å, b = 8.5756 Å, c = 8.5756 Å
α = 108.71°, β = 111.01°, γ = 108.71°
With the nearest neighbours (Å) after each atom.
Positions (direct):
Ho 0.2500 0.5000 0.7500  8 Tl 3.19-3.20
Tl 0.3055 0.2861 0.4105  1 Ho 3.19, 1 Tl 3.36, 5 Ac 3.40-3.51
Tl 0.1339 0.7303 0.5435  1 Ho 3.20, 2 Tl 3.36-3.50, 4 Ac 3.48-3.51
Tl 0.4565 0.5904 0.1868  1 Ho 3.20, 2 Tl 3.36-3.50, 4 Ac 3.48-3.51
Ac 0.9804 0.3488 0.1057  8 Tl 3.40-3.61
Tl 0.5963 0.4096 0.8661  1 Ho 3.20, 2 Tl 3.36-3.50, 4 Ac 3.48-3.51
Ac 0.3684 0.1252 0.0196  8 Tl 3.40-3.61
Ac 0.8943 0.8748 0.2431  8 Tl 3.40-3.61
Ac 0.7569 0.6512 0.6316  8 Tl 3.40-3.61
Ac 0.5000 0.0000 0.5000  8 Tl 3.48-3.51
Tl 0.5895 0.8950 0.8756  1 Ho 3.19, 1 Tl 3.36, 5 Ac 3.40-3.51
Tl 0.1244 0.7139 0.0194  1 Ho 3.19, 1 Tl 3.36, 5 Ac 3.40-3.51
Tl 0.8132 0.2697 0.4037  1 Ho 3.20, 2 Tl 3.36-3.50, 4 Ac 3.48-3.51
Tl 0.9806 0.1050 0.6945  1 Ho 3.19, 1 Tl 3.36, 5 Ac 3.40-3.51

## Properties
Magnetization, μB/atom: 0.0000
Energy of formation, meV per atom: -290


# 2
DFT (PBE) results for a geometry-optimized TaRhO3 structure.

a = 3.8738 Å, b = 3.8738 Å, c = 3.8738 Å
α = 90.00°, β = 90.00°, γ = 90.00°
With the nearest neighbours (Å) after each atom.
Positions (direct):
O 0.0000 0.0000 0.5000  2 Rh 1.94
O 0.0000 0.5000 0.0000  2 Rh 1.94
Rh 0.0000 0.0000 0.0000  6 O 1.94
O 0.5000 0.0000 0.0000  2 Rh 1.94
Ta 0.5000 0.5000 0.5000  12 O 2.74

## Properties
Magnetization, μB/atom: 0.3212
Formation energy without anion corrections, eV/f.u.: -0.223